The following is a DFT calculation (PBE with a Hubbard U) of a relaxed structure of CsCoI2O.

Structure (POSCAR):
```
CsCoI2O
1.0
6.592 0.000 0.000
0.000 6.592 0.000
0.000 0.000 3.627
Cs Co I O
1 1 2 1
direct
0.000 0.000 0.000 Cs
0.500 0.500 0.500 Co
0.000 0.500 0.500 I
0.500 0.000 0.500 I
0.500 0.500 0.000 O
```

Values from the calculation:
As for the theoretical density: 4.9 g cm⁻³. As for the crystal system: tetragonal. For the polymorph energy (0 for the lowest one), the calculation gives 0 meV/atom.